[1]
SrZrOs2 (PBE, relaxed); energy relative to the lowest polymorph listed for this composition = 0.106 eV/atom; DOS(E_F) = 2.7 states/eV/cell; size of the total moment = 0.01 μB per formula unit; DFT formation energy = 0.391 eV per atom; space group = No. 99; crystal system = tetragonal
1.0
2.964 0.000 0.000
0.000 2.964 0.000
0.000 0.000 9.517
Os Zr Sr
2 1 1
Cartesian
0.000 0.000 0.316
1.482 1.482 1.900
1.482 1.482 7.726
0.000 0.000 4.334

[2]
AgP2W (PBE, relaxed); energy relative to the lowest polymorph listed for this composition = 0.545 eV/atom; DOS(E_F) = 3.1 states/eV/cell; size of the total moment = 0.00 μB per formula unit; DFT formation energy = 0.567 eV per atom; space group = No. 119; crystal system = tetragonal
1.0
5.328 -0.014 0.000
2.863 4.493 0.000
-4.096 -2.240 2.569
W P Ag
1 2 1
Cartesian
4.096 2.240 0.000
1.432 2.247 1.284
0.000 0.000 0.000
2.664 -0.007 1.284

[3]
CuPH2 (PBE, relaxed); energy relative to the lowest polymorph listed for this composition = 0.022 eV/atom; DOS(E_F) = 0.4 states/eV/cell; size of the total moment = 0.00 μB per formula unit; space group = No. 8; crystal system = monoclinic
1.0
5.072 0.000 0.003
0.000 4.241 0.000
-4.715 0.000 5.220
H P Cu
4 2 2
Cartesian
2.108 2.120 0.306
3.263 0.000 1.519
0.906 2.120 4.130
-0.249 0.000 2.916
-1.701 0.000 2.964
0.657 2.120 0.354
0.178 0.000 0.888
-2.179 2.120 3.498

[4]
ThFe4P2 (PBE, relaxed); energy relative to the lowest polymorph listed for this composition = 0.314 eV/atom; DOS(E_F) = 7.0 states/eV/cell; size of the total moment = 6.92 μB per formula unit; DFT formation energy = -0.293 eV per atom; space group = No. 139; crystal system = tetragonal
1.0
-0.874 -1.539 2.947
0.172 -3.064 -1.548
8.155 -2.944 2.896
Fe P Th
4 2 1
Cartesian
3.465 -3.392 3.271
3.988 -4.155 1.023
5.488 -5.069 2.997
1.965 -2.478 1.298
2.114 -4.817 2.126
5.339 -2.730 2.168
0.000 0.000 0.000

[5]
MnRe2P (PBE, relaxed); DOS(E_F) = 2.6 states/eV/cell; size of the total moment = 1.79 μB per formula unit; DFT formation energy = -0.141 eV per atom; space group = No. 38; crystal system = orthorhombic
1.0
-1.159 3.364 4.931
0.079 -0.764 -6.032
-2.859 -1.143 0.107
Re Mn P
2 1 1
Cartesian
-0.928 2.593 2.884
-1.578 -0.579 -3.968
-0.579 1.429 -0.206
-2.552 2.670 4.660

[6]
Th2MgO (PBE, relaxed); DOS(E_F) = 4.2 states/eV/cell; energy relative to the elements, uncorrected = -0.88 eV per atom; size of the total moment = 0.00 μB per formula unit; space group = No. 166; crystal system = trigonal
1.0
-3.128 -1.017 -0.994
-0.612 -0.688 -3.310
1.373 -10.083 0.060
Th O Mg
2 1 1
Cartesian
0.481 -6.843 -0.449
-2.847 -4.946 -3.795
-1.183 -5.894 -2.122
0.000 0.000 0.000

[7]
Zr2CoHg (PBE, relaxed); DOS(E_F) = 3.5 states/eV/cell; size of the total moment = 0.01 μB per formula unit; DFT formation energy = 0.120 eV per atom; space group = No. 160; crystal system = trigonal
1.0
-0.778 -7.304 -5.335
2.436 -7.054 -5.170
0.814 -8.585 -2.837
Zr Hg Co
2 1 1
Cartesian
0.000 -0.001 0.000
0.582 -5.400 -3.140
1.881 -17.451 -10.148
1.246 -11.562 -6.724

[8]
TbNiH (PBE, relaxed); energy relative to the lowest polymorph listed for this composition = 0.256 eV/atom; DOS(E_F) = 7.2 states/eV/cell; size of the total moment = 0.18 μB per formula unit; space group = No. 26; crystal system = orthorhombic
1.0
-1.434 1.781 1.871
4.100 -2.750 5.762
5.485 5.672 -1.195
Ni Tb H
4 4 4
Cartesian
4.734 0.467 5.519
4.376 3.592 2.269
3.153 1.016 3.784
3.396 4.762 0.404
5.660 2.516 4.277
3.181 -1.481 6.183
6.331 5.271 2.169
2.170 2.402 1.710
7.762 3.307 2.802
8.094 1.727 4.562
3.134 0.093 2.315
1.209 0.026 0.902

[9]
Rb2TcBrCl5 (PBE, relaxed); energy relative to the elements, uncorrected = -1.31 eV per atom; size of the total moment = 3.00 μB per formula unit; space group = No. 107; crystal system = tetragonal
1.0
-4.300 5.134 -2.951
-2.624 -4.330 5.284
5.581 1.978 4.301
Rb Br Cl Tc
2 1 5 1
Cartesian
1.385 2.964 3.088
-2.717 -0.190 3.580
2.235 -1.778 7.245
-1.288 1.809 0.856
3.707 0.531 4.538
-0.742 -2.889 5.072
0.690 -0.549 2.236
-0.048 0.967 5.804
0.006 -0.005 0.020

[10]
SrMg2Cd (PBE, relaxed); DOS(E_F) = 2.7 states/eV/cell; size of the total moment = 0.00 μB per formula unit; DFT formation energy = -0.075 eV per atom; space group = No. 123; crystal system = tetragonal
1.0
4.973 0.000 0.000
0.000 4.848 0.000
0.000 0.000 4.848
Mg Cd Sr
2 1 1
Cartesian
0.000 0.000 2.424
0.000 2.424 0.000
2.487 0.000 0.000
2.487 2.424 2.424

[11]
BaReRh2 (PBE, relaxed); energy relative to the lowest polymorph listed for this composition = 0.485 eV/atom; DOS(E_F) = 4.6 states/eV/cell; size of the total moment = 0.00 μB per formula unit; DFT formation energy = 0.655 eV per atom; space group = No. 71; crystal system = orthorhombic
1.0
4.931 -2.187 -1.874
2.571 -2.535 4.425
-4.610 -0.134 -3.368
Rh Re Ba
2 1 1
Cartesian
2.384 -1.500 0.810
5.118 -3.222 1.740
0.161 -1.160 -2.621
-1.019 -1.334 0.528

[12]
HoErAlAg (PBE, relaxed); energy relative to the lowest polymorph listed for this composition = 0.000 eV/atom; DOS(E_F) = 2.4 states/eV/cell; size of the total moment = 0.00 μB per formula unit; DFT formation energy = -0.367 eV per atom; space group = No. 99; crystal system = tetragonal
1.0
-1.595 -2.993 -0.977
-0.727 -0.715 3.379
-6.510 3.673 -0.623
Ag Al Er Ho
1 1 1 1
Cartesian
-2.305 1.300 -0.221
-5.591 3.155 -0.535
-1.865 -1.457 1.134
-5.113 0.376 0.823

[13]
CePuHg4 (PBE, relaxed); energy relative to the lowest polymorph listed for this composition = 0.000 eV/atom; DOS(E_F) = 13.9 states/eV/cell; size of the total moment = 7.19 μB per formula unit; DFT formation energy = -0.282 eV per atom; space group = No. 12; crystal system = monoclinic
1.0
-4.720 -1.258 1.602
-4.035 -1.037 -4.425
-0.517 -5.567 2.382
Hg Pu Ce
4 1 1
Cartesian
-2.904 -1.214 -1.247
-1.731 -2.724 1.022
-6.368 -6.647 0.807
-7.540 -5.137 -1.462
-4.636 -3.931 -0.220
-4.720 -1.258 1.602

[14]
In7Bi2Pb (PBE, relaxed); DOS(E_F) = 2.9 states/eV/cell; size of the total moment = 0.00 μB per formula unit; DFT formation energy = 0.051 eV per atom; space group = No. 139; crystal system = tetragonal
1.0
-4.510 0.432 1.888
0.672 -4.140 2.550
6.861 8.931 7.967
In Pb Bi
7 1 2
Cartesian
0.216 3.754 6.037
-1.919 -1.854 2.219
1.815 6.044 9.333
2.807 1.469 6.368
-1.383 1.465 2.742
4.405 3.758 9.664
1.208 -0.821 3.073
0.000 0.000 0.000
3.224 4.616 6.645
-0.201 0.607 5.761

[15]
TcAs3H (PBE, relaxed); DOS(E_F) = 3.5 states/eV/cell; size of the total moment = 0.98 μB per formula unit; space group = No. 221; crystal system = cubic
1.0
-2.688 3.005 1.050
-2.373 -0.976 -3.283
-2.122 -2.716 2.341
As H Tc
3 1 1
Cartesian
-1.187 -0.488 -1.641
-1.344 1.503 0.525
-1.061 -1.358 1.171
0.000 0.000 0.000
-3.591 -0.343 0.054

[16]
NaCdAg2Br6 (PBE, relaxed); DOS(E_F) = 9.2 states/eV/cell; energy relative to the elements, uncorrected = -0.63 eV per atom; size of the total moment = 0.00 μB per formula unit; space group = No. 15; crystal system = monoclinic
1.0
-7.464 0.868 -1.433
-1.628 -0.364 -10.215
-4.721 -9.195 0.544
Br Ag Cd Na
12 4 2 2
Cartesian
-11.356 -7.410 -4.416
-5.731 -2.951 -5.019
-2.968 -0.292 -2.278
-9.774 -3.404 -4.654
-7.089 -0.965 -1.645
-6.009 -3.236 -9.314
-8.082 -5.740 -6.085
-10.844 -8.399 -8.826
-7.803 -5.455 -1.790
-4.039 -5.287 -6.449
-2.457 -1.281 -6.688
-6.724 -7.725 -9.459
-7.648 -3.035 -3.216
-3.434 -2.092 -4.177
-10.379 -6.599 -6.926
-6.164 -5.656 -7.887
-7.803 -1.361 -9.282
-6.010 -7.329 -1.822
-9.976 -7.563 -1.725
-3.837 -1.127 -9.379

[17]
LiAc4Ce3Se8 (PBE, relaxed); DOS(E_F) = 23.6 states/eV/cell; energy relative to the elements, uncorrected = -1.78 eV per atom; size of the total moment = 3.62 μB per formula unit; space group = No. 166; crystal system = trigonal
1.0
-8.208 2.765 -0.209
-2.745 -8.192 -0.575
5.210 2.383 6.502
Se Li Ce Ac
8 1 3 4
Cartesian
-4.273 1.123 3.070
-0.166 -0.257 3.115
-6.930 -0.093 -0.245
1.186 -2.951 5.963
-2.743 -1.503 -0.138
-1.471 -4.166 2.648
-5.577 -2.786 2.603
-3.000 -1.540 5.857
-1.372 -4.096 -0.288
-5.477 -2.713 -0.392
1.232 -2.904 2.964
-2.872 -1.522 2.859
2.605 1.192 3.251
-4.104 1.383 -0.105
0.000 0.000 0.000
-1.499 2.574 3.147

[18]
Pm3BrN2 (PBE, relaxed); DOS(E_F) = 4.2 states/eV/cell; energy relative to the elements, uncorrected = -1.44 eV per atom; size of the total moment = 0.00 μB per formula unit; space group = No. 194; crystal system = hexagonal
1.0
-2.089 2.960 -0.661
-1.577 -3.199 0.914
1.030 5.124 19.703
N Br Pm
4 2 6
Cartesian
-1.154 1.807 11.746
-1.482 3.077 8.211
-1.839 1.298 1.369
-0.796 3.586 18.588
0.258 1.281 4.926
0.773 3.843 14.777
0.515 2.562 9.852
-1.266 4.152 12.343
0.000 0.000 0.000
-1.370 0.733 7.614
-1.610 -0.463 3.016
-1.025 5.347 16.941

[19]
ZnB2OsF (PBE, relaxed); DOS(E_F) = 2.3 states/eV/cell; energy relative to the elements, uncorrected = 0.47 eV per atom; size of the total moment = 0.00 μB per formula unit; space group = No. 123; crystal system = tetragonal
1.0
3.968 0.000 0.000
0.000 5.085 0.000
0.000 0.000 3.968
B Os F Zn
2 1 1 1
Cartesian
1.984 0.000 0.000
0.000 0.000 1.984
0.000 0.000 0.000
1.984 2.543 1.984
0.000 2.543 0.000

[20]
SrSi2Pd4 (PBE, relaxed); energy relative to the lowest polymorph listed for this composition = 0.035 eV/atom; DOS(E_F) = 13.2 states/eV/cell; energy relative to the elements, uncorrected = -0.66 eV per atom; size of the total moment = 0.00 μB per formula unit; space group = No. 62; crystal system = orthorhombic
1.0
-0.893 -2.965 2.540
5.776 -3.052 -1.532
8.674 9.384 14.006
Pd Si Sr
16 8 4
Cartesian
6.504 1.826 5.997
3.191 0.740 3.565
2.008 -1.690 0.311
11.549 5.058 14.702
10.367 2.627 11.448
7.053 1.542 9.016
7.319 5.257 13.448
5.889 -1.991 4.483
13.654 5.032 12.254
6.238 -1.890 1.565
5.056 3.683 7.656
8.501 -0.315 7.357
4.427 -0.198 6.062
9.130 3.566 8.952
-0.097 -1.665 2.759
7.669 5.358 10.531
4.543 -2.709 0.013
8.695 2.081 7.065
4.862 1.287 7.948
7.995 2.969 11.014
1.352 -0.505 4.623
9.015 6.077 15.000
5.562 0.399 4.000
12.205 3.873 10.391
8.614 -0.357 4.190
10.218 5.779 11.918
4.944 3.724 10.823
3.340 -2.412 3.095

| no. | VASP energy (eV per atom) |
| --- | --- |
| 1 | -7.7810 |
| 2 | -6.0887 |
| 3 | -3.9600 |
| 4 | -7.7347 |
| 5 | -10.0096 |
| 6 | -6.2326 |
| 7 | -6.0062 |
| 8 | -4.4893 |
| 9 | -3.8842 |
| 10 | -1.5218 |
| 11 | -6.6134 |
| 12 | -4.3001 |
| 13 | -3.8612 |
| 14 | -3.0133 |
| 15 | -4.7855 |
| 16 | -2.4256 |
| 17 | -5.7857 |
| 18 | -6.8654 |
| 19 | -5.0809 |
| 20 | -5.4216 |